DFT (PBE) results for a relaxed MgTlNi2 crystal.

- DFT formation energy: 108.0 meV per atom
- Total energy: -3.77 eV/atom

Cell lengths 3.1214, 3.1214, 6.7743 Å; angles 90.00, 90.00, 90.01 degrees
Each line ends with the local moment (μB).
Fractional coordinates of all 4 atoms:
Ni 0.0000 0.0000 0.0334  0.17
Ni 0.5000 0.5000 0.1998  0.16
Mg 0.5000 0.5000 0.8093  0.00
Tl 0.0000 0.0000 0.4575  0.00



DFT (PBE) results for a relaxed NaBe2BiF8 crystal.

- Uncorrected formation energy: -2.8456 eV per atom
- Total energy: -5.15 eV/atom

Cell lengths 4.9600, 4.9600, 7.8318 Å; angles 71.54, 71.54, 60.00 degrees
Fractional coordinates of all 12 atoms:
Bi 0.5000 0.5000 0.5000
Be 0.2595 0.2595 0.2214
Be 0.7405 0.7405 0.7786
F 0.0542 0.7898 0.6922
F 0.9458 0.5362 0.3078
F 0.4638 0.0542 0.6922
F 0.7898 0.4638 0.6922
F 0.2102 0.9458 0.3078
F 0.6729 0.6729 0.9814
F 0.3271 0.3271 0.0186
F 0.5362 0.2102 0.3078
Na 0.0000 0.0000 0.0000



DFT (PBE) results for a relaxed AgTeF2 crystal.

- Uncorrected formation energy: -0.6066 eV per atom
- Energy above the lowest structure with this stoichiometry: 1.554 eV/f.u.
- Total energy: -3.04 eV/atom

Cell lengths 4.4857, 4.4857, 4.4857 Å; angles 60.00, 60.00, 60.00 degrees
Fractional coordinates of all 4 atoms:
F 0.7500 0.7500 0.7500
F 0.2500 0.2500 0.2500
Te 0.5000 0.5000 0.5000
Ag 0.0000 0.0000 0.0000



DFT (PBE) results for a relaxed Zn5Ga2Au5 crystal.

- DFT formation energy: -148.2 meV per atom
- Total energy: -2.55 eV/atom

Cell lengths 4.5994, 4.4227, 12.5314 Å; angles 88.58, 81.03, 56.93 degrees
Fractional coordinates of all 12 atoms:
Au 0.4189 0.3536 0.8380
Au 0.5811 0.6464 0.1620
Au 0.0000 0.0000 0.0000
Au 0.1214 0.2061 0.5720
Au 0.8786 0.7939 0.4280
Zn 0.2610 0.0855 0.3484
Zn 0.5000 0.5000 0.5000
Zn 0.7064 0.6800 0.9218
Zn 0.7390 0.9145 0.6516
Zn 0.2936 0.3200 0.0782
Ga 0.1155 0.0355 0.7746
Ga 0.8845 0.9645 0.2254



DFT (PBE) results for a relaxed Sm3DyY6Sc2 crystal.

- DFT formation energy: 42.1 meV per atom
- Total energy: -5.81 eV/atom

Cell lengths 6.1307, 6.1307, 11.6787 Å; angles 95.01, 95.01, 119.98 degrees
Fractional coordinates of all 12 atoms:
Sm 0.8331 0.1669 0.5000
Sm 0.1669 0.8331 0.5000
Sm 0.5000 0.5000 0.5000
Y 0.0814 0.4171 0.2426
Y 0.2546 0.2546 0.7574
Y 0.5829 0.9186 0.7574
Y 0.4171 0.0814 0.2426
Y 0.7454 0.7454 0.2426
Y 0.9186 0.5829 0.7574
Dy 0.0000 0.0000 0.0000
Sc 0.6668 0.3332 0.0000
Sc 0.3332 0.6668 0.0000



DFT (PBE) results for a relaxed YMnAl2 crystal.

- DFT formation energy: -2.0 meV per atom
- Total energy: -5.78 eV/atom

Cell lengths 5.3911, 5.3911, 5.3911 Å; angles 143.91, 128.18, 64.77 degrees
Fractional coordinates of all 4 atoms:
Al 0.5338 0.5338 0.0000
Al 0.9662 0.9662 0.0000
Mn 0.7500 0.2500 0.5000
Y 0.2500 0.7500 0.5000



Fermi-level density of states list, top to bottom, in states/eV/f.u.: 4.23 0.00 3.90 2.59 18.48 2.19